# 1
A relaxed Be4SbAs crystal. Source: Alexandria, functional PBE.

Formation energy (no corrections) in eV/f.u.: 3.333
M_tot in Bohr magnetons per cell: 0.000
Symmetry: F-43m, No. 216
ρ in g cm⁻³: 4.85
Crystal system: cubic

Lattice parameters (Å, degrees): 4.8292 4.8292 4.8292 60.00 60.00 60.00
Last column: nearest neighbours and their distance in Å.
Fractional positions:
Be: 0.1251 0.1251 0.1251  6 Be 2.41-2.42
Be: 0.1251 0.1251 0.6247  6 Be 2.41-2.42
Be: 0.1251 0.6247 0.1251  6 Be 2.41-2.42
Be: 0.6247 0.1251 0.1251  6 Be 2.41-2.42
Sb: 0.7500 0.7500 0.7500  12 Be 2.83, 4 As 2.96
As: 0.5000 0.5000 0.5000  12 Be 2.83, 4 Sb 2.96

---

# 2
A relaxed IrSeN2 crystal. Source: Alexandria, functional PBE.

Formation energy (no corrections) in eV/f.u.: 3.244
M_tot in Bohr magnetons per cell: 0.000
Symmetry: R-3m, No. 166
ρ in g cm⁻³: 9.47
Crystal system: trigonal

Lattice parameters (Å, degrees): 6.4027 6.4027 6.4027 28.40 28.40 28.40
Last column: nearest neighbours and their distance in Å.
Fractional positions:
Ir: 0.0000 0.0000 0.0000  6 N 2.07
Se: 0.5000 0.5000 0.5000  2 N 2.08
N: 0.3870 0.3870 0.3870  3 Ir 2.07, 1 Se 2.08
N: 0.6130 0.6130 0.6130  3 Ir 2.07, 1 Se 2.08

---

# 3
A relaxed Lu2InF crystal. Source: Alexandria, functional PBE.

Formation energy (no corrections) in eV/f.u.: -5.144
M_tot in Bohr magnetons per cell: 0.000
Symmetry: R-3m, No. 166
ρ in g cm⁻³: 6.10
Crystal system: trigonal

Lattice parameters (Å, degrees): 7.2475 7.2475 7.2475 38.35 38.35 38.35
Last column: nearest neighbours and their distance in Å.
Fractional positions:
Lu: 0.1045 0.1045 0.1045  1 F 2.10
Lu: 0.8955 0.8955 0.8955  1 F 2.10
In: 0.5000 0.5000 0.5000  6 Lu 3.02
F: 0.0000 0.0000 0.0000  2 Lu 2.10

---

# 4
A relaxed PHOs crystal. Source: Alexandria, functional PBE.

M_tot in Bohr magnetons per cell: 0.000
Symmetry: P-1, No. 2
ρ in g cm⁻³: 9.50
Crystal system: triclinic
Raw total energy in eV for the cell shown: -116.35

Lattice parameters (Å, degrees): 4.9583 6.5152 7.9267 69.54 82.91 76.59
Last column: nearest neighbours and their distance in Å.
Fractional positions:
P: 0.0755 0.3071 0.0417  4 Os 2.23-2.45, 1 H 2.29, 1 P 2.32
P: 0.2847 0.7625 0.2392  4 Os 2.32-2.39
P: 0.3219 0.1468 0.4796  1 P 2.24, 2 Os 2.37-2.42, 1 H 2.48
P: 0.6781 0.8532 0.5204  1 P 2.24, 2 Os 2.37-2.42, 1 H 2.48
P: 0.7153 0.2375 0.7608  4 Os 2.32-2.39
P: 0.9245 0.6929 0.9583  4 Os 2.23-2.45, 1 H 2.29, 1 P 2.32
H: 0.1920 0.5398 0.6378  2 Os 1.79-1.82
H: 0.2338 0.0006 0.8105  2 Os 1.78-1.89
H: 0.4773 0.6598 0.9467  2 Os 1.74-1.82, 1 H 1.92
H: 0.5227 0.3402 0.0533  2 Os 1.74-1.82, 1 H 1.92
H: 0.7662 0.9994 0.1895  2 Os 1.78-1.89
H: 0.8080 0.4602 0.3622  2 Os 1.79-1.82
Os: 0.0000 0.0000 0.0000  2 H 1.78
Os: 0.0138 0.0553 0.3239  1 H 1.89
Os: 0.3562 0.5060 0.8417  3 H 1.74-1.82
Os: 0.5000 0.5000 0.5000  2 H 1.79
Os: 0.6438 0.4940 0.1583  3 H 1.74-1.82
Os: 0.9862 0.9447 0.6761  1 H 1.89

---

# 5
A relaxed Nd3DyCo crystal. Source: Alexandria, functional PBE.

M_tot in Bohr magnetons per cell: 0.934
Formation enthalpy at 0 K in meV/atom: 109
Symmetry: Pm-3m, No. 221
ρ in g cm⁻³: 6.77
Crystal system: cubic

Lattice parameters (Å, degrees): 5.4330 5.4330 5.4330 90.00 90.00 90.00
Last column: nearest neighbours and their distance in Å.
Fractional positions:
Nd: 0.0000 0.0000 0.5000  2 Co 2.72
Nd: 0.0000 0.5000 0.0000  2 Co 2.72
Nd: 0.5000 0.0000 0.0000  2 Co 2.72
Dy: 0.5000 0.5000 0.5000  12 Nd 3.84
Co: 0.0000 0.0000 0.0000  6 Nd 2.72

---

# 6
A relaxed Nd2Al5Os crystal. Source: Alexandria, functional PBE.

M_tot in Bohr magnetons per cell: 0.000
Formation enthalpy at 0 K in meV/atom: -272
Symmetry: I4mm, No. 107
ρ in g cm⁻³: 5.84
Crystal system: tetragonal

Lattice parameters (Å, degrees): 6.2926 6.2926 6.2926 120.60 120.60 88.97
Last column: nearest neighbours and their distance in Å.
Fractional positions:
Nd: 0.0000 0.5000 0.5000  10 Al 3.12-3.20
Nd: 0.5000 0.0000 0.5000  10 Al 3.12-3.20
Al: 0.0158 0.0158 0.0000  1 Os 2.44
Al: 0.0256 0.0256 0.5627  1 Os 2.48, 2 Al 2.73
Al: 0.0256 0.4629 0.0000  1 Os 2.48, 2 Al 2.73
Al: 0.4629 0.0256 0.0000  1 Os 2.48, 2 Al 2.73
Al: 0.4629 0.4629 0.4373  1 Os 2.48, 2 Al 2.73
Os: 0.7438 0.7438 0.0000  5 Al 2.44-2.48

---

# 7
A relaxed Ac3HoPb2C crystal. Source: Alexandria, functional PBE.

M_tot in Bohr magnetons per cell: 0.000
Formation enthalpy at 0 K in meV/atom: -416
Symmetry: Immm, No. 71
ρ in g cm⁻³: 9.02
Crystal system: orthorhombic

Lattice parameters (Å, degrees): 9.5452 9.5452 9.5452 149.62 147.72 44.91
Last column: nearest neighbours and their distance in Å.
Fractional positions:
Ac: 0.0000 0.0000 0.0000  2 C 2.65
Ac: 0.3383 0.8383 0.5000  1 C 2.85
Ac: 0.6617 0.1617 0.5000  1 C 2.85
Ho: 0.5000 0.5000 0.0000  2 C 2.50
Pb: 0.1379 0.6379 0.5000  7 Ac 3.49-3.67, 2 Ho 3.60
Pb: 0.8621 0.3621 0.5000  7 Ac 3.49-3.67, 2 Ho 3.60
C: 0.5000 0.0000 0.5000  2 Ho 2.50, 2 Ac 2.65

---

# 8
A relaxed CaNbSN2 crystal. Source: Alexandria, functional PBE.

Formation energy (no corrections) in eV/f.u.: -3.403
M_tot in Bohr magnetons per cell: 0.384
Symmetry: P4/mmm, No. 123
ρ in g cm⁻³: 3.80
Crystal system: tetragonal

Lattice parameters (Å, degrees): 4.0586 4.0586 5.1166 90.00 90.00 90.00
Last column: nearest neighbours and their distance in Å.
Fractional positions:
Ca: 0.0000 0.0000 0.0000  4 S 2.87
Nb: 0.5000 0.5000 0.5000  4 N 2.03
S: 0.5000 0.5000 0.0000  2 Nb 2.56
N: 0.0000 0.5000 0.5000  2 Nb 2.03
N: 0.5000 0.0000 0.5000  2 Nb 2.03

---

# 9
A relaxed HfHO2 crystal. Source: Alexandria, functional PBE.

M_tot in Bohr magnetons per cell: 2.000
Symmetry: I-42d, No. 122
ρ in g cm⁻³: 3.85
Crystal system: tetragonal
Raw total energy in eV for the cell shown: -61.84

Lattice parameters (Å, degrees): 6.3683 6.3683 6.3683 120.06 120.06 89.89
Last column: nearest neighbours and their distance in Å.
Fractional positions:
Hf: 0.0000 0.0000 0.0000  4 O 1.95
Hf: 0.7500 0.2500 0.5000  4 O 1.95
H: 0.2500 0.7500 0.5000  12 O 3.71-3.75, 4 H 3.90, 4 Hf 3.90
H: 0.5000 0.5000 0.0000  12 O 3.71-3.75, 4 H 3.90, 4 Hf 3.90
O: 0.3750 0.1207 0.2457  2 Hf 1.95
O: 0.8707 0.6250 0.7457  2 Hf 1.95
O: 0.8750 0.1293 0.7543  2 Hf 1.95
O: 0.8793 0.1250 0.2543  2 Hf 1.95

---

# 10
A relaxed Th2FeCo3Ge4 crystal. Source: Alexandria, functional PBE.

M_tot in Bohr magnetons per cell: 0.000
Formation enthalpy at 0 K in meV/atom: -575
Symmetry: P-4m2, No. 115
ρ in g cm⁻³: 9.89
Crystal system: tetragonal

Lattice parameters (Å, degrees): 4.1297 4.1297 9.7155 90.00 90.00 90.00
Last column: nearest neighbours and their distance in Å.
Fractional positions:
Th: 0.0000 0.5000 0.2500  6 Co 3.15-3.19, 8 Ge 3.16-3.19, 2 Fe 3.19
Th: 0.5000 0.0000 0.7500  6 Co 3.15-3.19, 8 Ge 3.16-3.19, 2 Fe 3.19
Fe: 0.0000 0.0000 0.5000  4 Ge 2.40
Co: 0.0000 0.5000 0.8714  5 Ge 2.38-2.41
Co: 0.5000 0.0000 0.1286  5 Ge 2.38-2.41
Co: 0.5000 0.5000 0.5000  4 Ge 2.40
Ge: 0.0000 0.0000 0.0000  4 Co 2.41
Ge: 0.0000 0.5000 0.6260  3 Co 2.38-2.40, 2 Fe 2.40
Ge: 0.5000 0.0000 0.3740  3 Co 2.38-2.40, 2 Fe 2.40
Ge: 0.5000 0.5000 0.0000  4 Co 2.41

---

# 11
A relaxed ReHg2Cl6 crystal. Source: Alexandria, functional PBE.

Formation energy (no corrections) in eV/f.u.: -3.999
M_tot in Bohr magnetons per cell: 0.969
Symmetry: P-3m1, No. 164
ρ in g cm⁻³: 4.87
Crystal system: trigonal

Lattice parameters (Å, degrees): 7.2625 7.2625 5.9720 90.00 90.00 120.00
Last column: nearest neighbours and their distance in Å.
Fractional positions:
Re: 0.0000 0.0000 0.0000  6 Cl 2.32
Hg: 0.3333 0.6667 0.8516  3 Cl 3.18
Hg: 0.6667 0.3333 0.1484  3 Cl 3.18
Cl: 0.1515 0.3030 0.2210  1 Re 2.32
Cl: 0.1515 0.8485 0.2210  1 Re 2.32
Cl: 0.3030 0.1515 0.7790  1 Re 2.32
Cl: 0.6970 0.8485 0.2210  1 Re 2.32
Cl: 0.8485 0.1515 0.7790  1 Re 2.32
Cl: 0.8485 0.6970 0.7790  1 Re 2.32

---

# 12
A relaxed Mn3NbN crystal. Source: Alexandria, functional PBE.

Formation energy (no corrections) in eV/f.u.: -1.242
M_tot in Bohr magnetons per cell: 0.000
Symmetry: Pm-3m, No. 221
ρ in g cm⁻³: 8.13
Crystal system: cubic

Lattice parameters (Å, degrees): 3.8149 3.8149 3.8149 90.00 90.00 90.00
Last column: nearest neighbours and their distance in Å.
Fractional positions:
Mn: 0.0000 0.0000 0.5000  2 N 1.91
Mn: 0.0000 0.5000 0.0000  2 N 1.91
Mn: 0.5000 0.0000 0.0000  2 N 1.91
Nb: 0.5000 0.5000 0.5000  12 Mn 2.70
N: 0.0000 0.0000 0.0000  6 Mn 1.91